(1)
A relaxed structure of ErCdTe2O8. Source: Alexandria, functional PBE.

Geometry as CIF:
```
data_ErCdTe2O8
_symmetry_space_group_name_H-M 'I -4 m 2'
_symmetry_Int_Tables_number 119
_symmetry_space_group_name_Hall 'I -4 -2'
_cell_length_a 7.3569
_cell_length_b 7.3569
_cell_length_c 6.7649
_cell_angle_alpha 90.00
_cell_angle_beta 90.00
_cell_angle_gamma 90.00
loop_
_atom_site_label
_atom_site_fract_x
_atom_site_fract_y
_atom_site_fract_z
_atom_site_occupancy
Er1 0.0000 0.0000 0.0000 1
Cd1 0.0000 0.5000 0.2500 1
Te1 0.0000 0.0000 0.5000 1
Te2 0.0000 0.5000 0.7500 1
O1 0.0000 0.1834 0.3047 1
O2 0.0000 0.3074 0.9352 1
```

Computed properties:
Magnetization (μB per formula unit): 0.00
Total DFT energy (no corrections) (eV for the cell shown): -136.5
E_form (uncorrected) (eV per atom): -1.40


(2)
A relaxed structure of Er2TmCdO. Source: Alexandria, functional PBE.

Geometry as CIF:
```
data_Er2TmCdO
_symmetry_space_group_name_H-M 'P 4/m m m'
_symmetry_Int_Tables_number 123
_symmetry_space_group_name_Hall '-P 4 2'
_cell_length_a 4.7364
_cell_length_b 4.7364
_cell_length_c 4.7073
_cell_angle_alpha 90.00
_cell_angle_beta 90.00
_cell_angle_gamma 90.00
loop_
_atom_site_label
_atom_site_fract_x
_atom_site_fract_y
_atom_site_fract_z
_atom_site_occupancy
Er1 0.0000 0.5000 0.0000 1
Tm1 0.0000 0.0000 0.5000 1
Cd1 0.5000 0.5000 0.5000 1
O1 0.0000 0.0000 0.0000 1
```

Computed properties:
Magnetization (μB per formula unit): 0.00
Total DFT energy (no corrections) (eV for the cell shown): -26.1
E_form (uncorrected) (eV per atom): -1.32


Question: What is the magnetization in the second record?
Answer: 0.00 μB per formula unit


Question: What is the total DFT energy (no corrections) in the first record?
Answer: -136.5 eV for the cell shown